1.
This record from Alexandria describes a relaxed NaSr4Tl crystal. The functional is GGA-PBE.

It has space group P4/mmm (No. 123), with a = 4.145 Å, b = 4.145 Å, c = 15.728 Å, α = 90.00°, β = 90.00° and γ = 90.00°. The inequivalent atoms are Na at (0.000, 0.000, 0.000), Sr at (0.000, 0.000, 0.373), Sr at (0.500, 0.500, 0.170) and Tl at (0.500, 0.500, 0.500).

The energy above the most stable polymorph in this dataset is 0.000 eV per atom. Its calculated density is 3.6 g cm⁻³. The calculation puts the calculated volume at 45.03 Å³/atom. The magnetic moment comes out at 0.0 μB per cell. The total energy comes out at -0.069 hartree per atom. As for the formation energy: -0.13 eV per atom.


2.
This record from Alexandria describes a relaxed NaSr6Tl crystal. The functional is GGA-PBE.

It has space group I4/mmm (No. 139), with a = 6.000 Å, b = 6.000 Å, c = 20.591 Å, α = 90.00°, β = 90.00° and γ = 90.00°. The inequivalent atoms are Na at (0.000, 0.000, 0.000), Sr at (0.000, 0.000, 0.250), Sr at (0.000, 0.500, 0.100) and Tl at (0.000, 0.000, 0.500).

The energy above the most stable polymorph in this dataset is 0.000 eV per atom. Its calculated density is 3.4 g cm⁻³. The calculation puts the calculated volume at 46.32 Å³/atom. The magnetic moment comes out at 0.0 μB per cell. The total energy comes out at -0.067 hartree per atom. As for the formation energy: -0.09 eV per atom.


3.
This record from Alexandria describes a relaxed Na4Sr3Tl4 crystal. The functional is GGA-PBE.

It has space group P-1 (No. 2), with a = 3.921 Å, b = 5.392 Å, c = 17.766 Å, α = 81.30°, β = 84.01° and γ = 89.98°. The inequivalent atoms are Na at (0.093, 0.092, 0.318), Na at (0.240, 0.739, 0.022), Sr at (0.359, 0.359, 0.781), Sr at (0.500, 0.000, 0.500), Tl at (0.041, 0.548, 0.407) and Tl at (0.180, 0.181, 0.138).

Its calculated density is 5.3 g cm⁻³. The calculation puts the calculated volume at 33.57 Å³/atom. The magnetic moment comes out at 0.0 μB per cell. The total energy comes out at -0.073 hartree per atom. As for the formation energy: -0.18 eV per atom.


4.
This record from Alexandria describes a relaxed Na3SrTl7 crystal. The functional is GGA-PBE.

It has space group Cmcm (No. 63), with a = 3.625 Å, b = 22.223 Å, c = 17.308 Å, α = 90.00°, β = 90.00° and γ = 90.00°. The inequivalent atoms are Na at (0.000, 0.117, 0.005), Na at (0.000, 0.223, 0.750), Sr at (0.000, 0.001, 0.750), Tl at (0.000, 0.248, 0.085), Tl at (0.000, 0.363, 0.750), Tl at (0.000, 0.379, 0.158) and Tl at (0.000, 0.490, 0.586).

The energy above the most stable polymorph in this dataset is 0.000 eV per atom. Its calculated density is 7.6 g cm⁻³. The calculation puts the calculated volume at 31.69 Å³/atom. The magnetic moment comes out at 0.0 μB per cell. The total energy comes out at -0.077 hartree per atom. As for the formation energy: -0.08 eV per atom.


5.
This record from Alexandria describes a relaxed NaSrYTl crystal. The functional is GGA-PBE.

It has space group F-43m (No. 216), with a = 7.991 Å, b = 7.991 Å, c = 7.991 Å, α = 90.00°, β = 90.00° and γ = 90.00°. The inequivalent atoms are Na at (0.000, 0.000, 0.000), Sr at (0.250, 0.250, 0.750), Y at (0.250, 0.250, 0.250) and Tl at (0.000, 0.000, 0.500).

Its calculated density is 5.3 g cm⁻³. The calculation puts the calculated volume at 31.90 Å³/atom. The magnetic moment comes out at 0.0 μB per cell. The total energy comes out at -0.112 hartree per atom. As for the formation energy: -0.09 eV per atom.


6.
This record from Alexandria describes a relaxed Na2SrTm crystal. The functional is GGA-PBE.

It has space group R-3m (No. 166, hexagonal axes), with a = 3.6643 Å, b = 3.6643 Å, c = 41.0773 Å, α = 90.00°, β = 90.00° and γ = 120.00°. The inequivalent atoms are Na at (0.0000, 0.0000, 0.0840), Sr at (0.0000, 0.0000, 0.5000) and Tm at (0.0000, 0.0000, 0.0000).

Its calculated density is 3.2 g cm⁻³. The calculation puts the calculated volume at 39.80 Å³/atom. The magnetic moment comes out at 0.0 μB per cell. The total energy comes out at -0.067 hartree per atom. As for the formation energy: 0.37 eV per atom.


7.
This record from Alexandria describes a relaxed NaSrV2 crystal. The functional is GGA-PBE.

It has space group Fm-3m (No. 225), with a = 7.666 Å, b = 7.666 Å, c = 7.666 Å, α = 90.00°, β = 90.00° and γ = 90.00°. The inequivalent atoms are Na at (0.000, 0.000, 0.000), Sr at (0.000, 0.000, 0.500) and V at (0.250, 0.250, 0.250).

The energy above the most stable polymorph in this dataset is 0.000 eV per atom. Its calculated density is 3.1 g cm⁻³. The calculation puts the calculated volume at 28.16 Å³/atom. The magnetic moment comes out at 33.8 μB per cell. The total energy comes out at -0.150 hartree per atom. As for the formation energy: 1.23 eV per atom.


8.
This record from Alexandria describes a relaxed NaSrV3 crystal. The functional is GGA-PBE.

It has space group Pm-3m (No. 221), with a = 5.209 Å, b = 5.209 Å, c = 5.209 Å, α = 90.00°, β = 90.00° and γ = 90.00°. The inequivalent atoms are Na at (0.000, 0.000, 0.000), Sr at (0.500, 0.500, 0.500) and V at (0.000, 0.000, 0.500).

The energy above the most stable polymorph in this dataset is 0.000 eV per atom. Its calculated density is 3.1 g cm⁻³. The calculation puts the calculated volume at 28.27 Å³/atom. The magnetic moment comes out at 12.5 μB per cell. The total energy comes out at -0.159 hartree per atom. As for the formation energy: 1.74 eV per atom.